CdHg: relaxed, PBEsol.

The structure in CIF format:
```
data_CdHg
_chemical_formula_sum 'Cd4 Hg4'
_symmetry_space_group_name_H-M 'P 21 3'
_symmetry_Int_Tables_number 198
_symmetry_space_group_name_Hall 'P 2ac 2ab 3'
_cell_length_a 5.600
_cell_length_b 5.600
_cell_length_c 5.600
_cell_angle_alpha 90.00
_cell_angle_beta 90.00
_cell_angle_gamma 90.00
loop_
_atom_site_label
_atom_site_fract_x
_atom_site_fract_y
_atom_site_fract_z
Cd1 0.097 0.403 0.597
Hg1 0.095 0.905 0.405
```

Values from the calculation:
uncorrected energy	-0.8729	eV/atom
DOS(E_F)	2.12	states/eV per cell
size of the total moment	0.00	Bohr magnetons per cell
E_form	0.87	kJ/mol of atoms